The following is a DFT calculation (SCAN) of a crystal of YTl2Cl relaxed with PBEsol.

a = 3.6553 Å, b = 6.1207 Å, c = 9.5939 Å
α = 90.00°, β = 90.00°, γ = 90.00°
With the nearest neighbours (Å) after each atom.
Space group Cmmm (No. 65)
Unique sites:
Y1 0.0000 0.0000 0.0000 (multiplicity 2)  4 Tl 3.13
Tl1 0.0000 0.5000 0.2647 (multiplicity 4)  2 Cl 2.90, 2 Y 3.13
Cl1 0.0000 0.0000 0.5000 (multiplicity 2)  4 Tl 2.90

Results
ΔE_f (raw) in eV/atom: -0.356
Volume in Å³/f.u.: 107.3
Energy above the lowest structure with this stoichiometry in meV per atom: 418
D(E_F) in states/eV/cell: 5.4